! LiBeRe2 | the Alexandria database | GGA-PBE | relaxed; values from VASP
! size of the total moment: 0.0 μB/cell
! V: 13.6 Å³/atom
! formation energy: 30.3 kJ per mole of atoms
&SYSTEM
  ibrav = 0, nat = 4, ntyp = 3
/
ATOMIC_SPECIES
Be 9.01 Be.upf
Li 6.94 Li.upf
Re 186.21 Re.upf
CELL_PARAMETERS angstrom
-0.437 2.565 -0.670
-1.996 0.522 3.296
4.386 1.383 2.437
ATOMIC_POSITIONS crystal
Be 0.000 0.000 0.507
Li 0.500 0.500 0.729
Re 0.000 0.000 0.024
Re 0.500 0.500 0.240


! LiBeRe2 | the Alexandria database | GGA-PBE | relaxed; values from VASP
! size of the total moment: 0.0 μB/cell
! V: 14.2 Å³/atom
! formation energy: 63.7 kJ per mole of atoms
&SYSTEM
  ibrav = 0, nat = 8, ntyp = 3
/
ATOMIC_SPECIES
Re 186.21 Re.upf
Li 6.94 Li.upf
Be 9.01 Be.upf
CELL_PARAMETERS angstrom
3.588 0.000 0.000
0.000 3.588 0.000
1.794 1.794 8.832
ATOMIC_POSITIONS crystal
Re 0.120 0.125 0.250
Re 0.630 0.625 0.250
Re 0.375 0.880 0.750
Re 0.875 0.370 0.750
Li 0.500 0.500 0.000
Li 0.250 0.750 0.500
Be 0.000 0.000 0.000
Be 0.750 0.250 0.500


! LiBeRe2 | the Alexandria database | GGA-PBE | relaxed; values from VASP
! size of the total moment: 0.0 μB/cell
! V: 13.6 Å³/atom
! formation energy: 27.5 kJ per mole of atoms
&SYSTEM
  ibrav = 0, nat = 4, ntyp = 3
/
ATOMIC_SPECIES
Be 9.01 Be.upf
Li 6.94 Li.upf
Re 186.21 Re.upf
CELL_PARAMETERS angstrom
-4.886 7.344 1.168
-6.471 5.597 2.443
-4.428 6.750 3.742
ATOMIC_POSITIONS crystal
Be 0.250 0.250 0.250
Li 0.750 0.750 0.750
Re 0.993 0.993 0.993
Re 0.507 0.507 0.507


! LiBe3Re | the Alexandria database | GGA-PBE | relaxed; values from VASP
! size of the total moment: 0.0 μB/cell
! V: 16.3 Å³/atom
! offset from the most stable computed form: 64 meV per atom
! formation energy: 87.3 kJ per mole of atoms
&SYSTEM
  ibrav = 0, nat = 5, ntyp = 3
/
ATOMIC_SPECIES
Re 186.21 Re.upf
Li 6.94 Li.upf
Be 9.01 Be.upf
CELL_PARAMETERS angstrom
4.334 0.000 0.000
0.000 4.334 0.000
0.000 0.000 4.334
ATOMIC_POSITIONS crystal
Re 0.000 0.000 0.000
Li 0.500 0.500 0.500
Be 0.000 0.500 0.000
Be 0.000 0.000 0.500
Be 0.500 0.000 0.000